Record 1
# LiCoRu2 | the Alexandria database | GGA-PBEsol | optimized geometry
# energy above the most stable polymorph in this dataset = 0.019 eV/atom
# formation energy from the elements = 25 kJ per mole of atoms
# magnetization = 0.315 μB/atom
data_LiCoRu2
_chemical_formula_sum 'Li2 Co2 Ru4'
_cell_length_a 2.848
_cell_length_b 4.065
_cell_length_c 8.042
_cell_angle_alpha 90.00
_cell_angle_beta 90.00
_cell_angle_gamma 90.00
_symmetry_space_group_name_H-M 'I m m 2'
_symmetry_Int_Tables_number 44
loop_
_symmetry_equiv_pos_as_xyz
'x,y,z'
'-x,-y,z'
'-x,y,z'
'x,-y,z'
'x+1/2,y+1/2,z+1/2'
'-x+1/2,-y+1/2,z+1/2'
'-x+1/2,y+1/2,z+1/2'
'x+1/2,-y+1/2,z+1/2'
loop_
_atom_site_label
_atom_site_type_symbol
_atom_site_fract_x
_atom_site_fract_y
_atom_site_fract_z
Li1 Li 0.000 0.000 0.000
Co1 Co 0.000 0.500 0.271
Ru1 Ru 0.000 0.000 0.515
Ru2 Ru 0.000 0.500 0.752

---

Record 2
# LiCoRu2 | the Alexandria database | GGA-PBEsol | optimized geometry
# energy above the most stable polymorph in this dataset = 0.161 eV/atom
# formation energy from the elements = 39 kJ per mole of atoms
# magnetization = 0.474 μB/atom
data_LiCoRu2
_chemical_formula_sum 'Li2 Co2 Ru4'
_cell_length_a 2.693
_cell_length_b 4.391
_cell_length_c 8.775
_cell_angle_alpha 90.00
_cell_angle_beta 90.00
_cell_angle_gamma 90.00
_symmetry_space_group_name_H-M 'C m m 2'
_symmetry_Int_Tables_number 35
loop_
_symmetry_equiv_pos_as_xyz
'x,y,z'
'-x,-y,z'
'-x,y,z'
'x,-y,z'
'x+1/2,y+1/2,z'
'-x+1/2,-y+1/2,z'
'-x+1/2,y+1/2,z'
'x+1/2,-y+1/2,z'
loop_
_atom_site_label
_atom_site_type_symbol
_atom_site_fract_x
_atom_site_fract_y
_atom_site_fract_z
Li1 Li 0.000 0.000 0.000
Co1 Co 0.000 0.500 0.752
Ru1 Ru 0.000 0.000 0.515
Ru2 Ru 0.000 0.500 0.261

---

Record 3
# LiCo2Ru | the Alexandria database | GGA-PBEsol | optimized geometry
# energy above the most stable polymorph in this dataset = 0.000 eV/atom
# formation energy from the elements = 24 kJ per mole of atoms
# magnetization = 0.170 μB/atom
data_LiCo2Ru
_chemical_formula_sum 'Li1 Co2 Ru1'
_cell_length_a 2.523
_cell_length_b 3.569
_cell_length_c 4.890
_cell_angle_alpha 90.00
_cell_angle_beta 90.00
_cell_angle_gamma 90.00
_symmetry_space_group_name_H-M 'P m m m'
_symmetry_Int_Tables_number 47
loop_
_symmetry_equiv_pos_as_xyz
'x,y,z'
'-x,-y,-z'
'-x,-y,z'
'x,y,-z'
'x,-y,-z'
'-x,y,z'
'-x,y,-z'
'x,-y,z'
loop_
_atom_site_label
_atom_site_type_symbol
_atom_site_fract_x
_atom_site_fract_y
_atom_site_fract_z
Li1 Li 0.000 0.000 0.000
Co1 Co 0.500 0.500 0.249
Ru1 Ru 0.000 0.000 0.500

---

Record 4
# LiCoRu2 | the Alexandria database | GGA-PBEsol | optimized geometry
# energy above the most stable polymorph in this dataset = 0.026 eV/atom
# formation energy from the elements = 26 kJ per mole of atoms
# magnetization = 0.159 μB/atom
data_LiCoRu2
_chemical_formula_sum 'Li1 Co1 Ru2'
_cell_length_a 2.621
_cell_length_b 3.696
_cell_length_c 4.949
_cell_angle_alpha 90.00
_cell_angle_beta 90.00
_cell_angle_gamma 90.00
_symmetry_space_group_name_H-M 'P m m 2'
_symmetry_Int_Tables_number 25
loop_
_symmetry_equiv_pos_as_xyz
'x,y,z'
'-x,-y,z'
'-x,y,z'
'x,-y,z'
loop_
_atom_site_label
_atom_site_type_symbol
_atom_site_fract_x
_atom_site_fract_y
_atom_site_fract_z
Li1 Li 0.000 0.000 0.000
Co1 Co 0.500 0.500 0.778
Ru1 Ru 0.000 0.000 0.510
Ru2 Ru 0.500 0.500 0.261